Record 1
DFT (GGA-PBE) results for a relaxed structure of Mn3PbS.

Computed properties:
E_form (uncorrected) = 0.1855 eV/atom
relative energy among the computed polymorphs = 0 meV/atom

Structure (POSCAR):
```
Mn3PbS
1.0
4.423 0.000 0.000
0.000 4.423 0.000
0.000 0.000 4.423
Mn Pb S
3 1 1
Direct
0.000 0.000 0.500 Mn
0.500 0.000 0.000 Mn
0.000 0.500 0.000 Mn
0.500 0.500 0.500 Pb
0.000 0.000 0.000 S
```

Record 2
DFT (GGA-PBE) results for a relaxed structure of La2PrSm3Tm6.

Computed properties:
E_form = 0.02 eV/atom

Structure (POSCAR):
```
La2PrSm3Tm6
1.0
6.230 0.000 0.004
-3.113 5.396 0.004
-1.044 -1.807 11.552
Tm Sm La Pr
6 3 2 1
Direct
0.418 0.085 0.253 Tm
0.752 0.752 0.253 Tm
0.248 0.248 0.747 Tm
0.915 0.582 0.747 Tm
0.085 0.418 0.253 Tm
0.582 0.915 0.747 Tm
0.167 0.833 0.500 Sm
0.833 0.167 0.500 Sm
0.500 0.500 0.500 Sm
0.667 0.333 0.000 La
0.333 0.667 0.000 La
0.000 0.000 0.000 Pr
```

Record 3
DFT (GGA-PBE) results for a relaxed structure of Ce2MgTl.

Computed properties:
E_form = -0.14 eV/atom

Structure (POSCAR):
```
Ce2MgTl
1.0
-2.398 -4.446 -0.381
1.934 -1.373 3.848
-3.481 1.676 2.348
Tl Ce Mg
1 2 1
Direct
0.500 0.000 0.000 Tl
0.000 0.500 0.000 Ce
0.000 0.000 0.500 Ce
0.500 0.500 0.500 Mg
```

Record 4
DFT (GGA-PBE) results for a relaxed structure of La2PrAu6.

Computed properties:
E_form = -0.79 eV/atom

Structure (POSCAR):
```
La2PrAu6
1.0
3.696 0.000 0.000
0.000 7.182 -4.147
0.000 0.000 8.293
Au La Pr
6 2 1
Direct
0.500 0.333 0.000 Au
0.500 0.333 0.333 Au
0.500 0.000 0.667 Au
0.500 0.667 0.667 Au
0.500 0.667 0.000 Au
0.500 0.000 0.333 Au
0.000 0.333 0.667 La
0.000 0.667 0.333 La
0.000 0.000 0.000 Pr
```

Record 5
DFT (GGA-PBE) results for a relaxed structure of LiAlSe2.

Computed properties:
E_form (uncorrected) = -0.3981 eV/atom

Structure (POSCAR):
```
LiAlSe2
1.0
3.341 0.000 0.000
0.000 3.341 0.000
0.000 0.000 6.828
Se Al Li
2 1 1
Direct
0.000 0.000 0.019 Se
0.000 0.000 0.481 Se
0.500 0.500 0.250 Al
0.500 0.500 0.750 Li
```

Record 6
DFT (GGA-PBE) results for a relaxed structure of CsMnIn2Cl8.

Computed properties:
E_form (uncorrected) = -1.1400 eV/atom

Structure (POSCAR):
```
CsMnIn2Cl8
1.0
-1.322 6.420 -1.561
-5.838 2.791 1.880
1.671 5.935 8.453
In Cl Cs Mn
2 8 1 1
Direct
0.736 0.736 0.793 In
0.264 0.264 0.207 In
0.181 0.181 0.458 Cl
0.655 0.269 0.150 Cl
0.075 0.345 0.850 Cl
0.925 0.655 0.150 Cl
0.731 0.075 0.850 Cl
0.269 0.925 0.150 Cl
0.819 0.819 0.542 Cl
0.345 0.731 0.850 Cl
0.500 0.500 0.500 Cs
0.000 0.000 0.000 Mn
```

Please write out number 3 again, unchanged.
DFT (GGA-PBE) results for a relaxed structure of Ce2MgTl.

Computed properties:
E_form = -0.14 eV/atom

Structure (POSCAR):
```
Ce2MgTl
1.0
-2.398 -4.446 -0.381
1.934 -1.373 3.848
-3.481 1.676 2.348
Tl Ce Mg
1 2 1
Direct
0.500 0.000 0.000 Tl
0.000 0.500 0.000 Ce
0.000 0.000 0.500 Ce
0.500 0.500 0.500 Mg
```

Number 2 is which compound? La2PrSm3Tm6

Repeat the fourth record exactly.
DFT (GGA-PBE) results for a relaxed structure of La2PrAu6.

Computed properties:
E_form = -0.79 eV/atom

Structure (POSCAR):
```
La2PrAu6
1.0
3.696 0.000 0.000
0.000 7.182 -4.147
0.000 0.000 8.293
Au La Pr
6 2 1
Direct
0.500 0.333 0.000 Au
0.500 0.333 0.333 Au
0.500 0.000 0.667 Au
0.500 0.667 0.667 Au
0.500 0.667 0.000 Au
0.500 0.000 0.333 Au
0.000 0.333 0.667 La
0.000 0.667 0.333 La
0.000 0.000 0.000 Pr
```